# 1
This record from OQMD describes a relaxed Li4ZnCo2Ge crystal. The functional is PBE-GGA.

## Properties
Crystal system ... tetragonal
E_tot ... -3.56 eV/atom

Unit cell a=4.1161 b=4.1161 c=5.7817 alpha=90.00 beta=90.00 gamma=90.00
Space group P-4m2 (No. 115)
Inequivalent atoms, fractional coordinates:
Li1 0.0000 0.0000 0.0000 x1
Li2 0.0000 0.5000 0.2480 x2
Li3 0.5000 0.5000 0.5000 x1
Zn1 0.5000 0.5000 0.0000 x1
Co1 0.0000 0.5000 0.7333 x2
Ge1 0.0000 0.0000 0.5000 x1

# 2
This record from OQMD describes a relaxed LiZrCoGe crystal. The functional is PBE-GGA.

## Properties
Crystal system ... cubic
Distance to the lowest polymorph of the same formula ... 1.14 eV per formula unit

Unit cell a=6.2603 b=6.2603 c=6.2603 alpha=90.00 beta=90.00 gamma=90.00
Space group F-43m (No. 216)
Inequivalent atoms, fractional coordinates:
Li1 0.0000 0.0000 0.0000 x4
Zr1 0.0000 0.0000 0.5000 x4
Co1 0.2500 0.2500 0.7500 x4
Ge1 0.2500 0.2500 0.2500 x4

# 3
This record from OQMD describes a relaxed LiZrCoGe crystal. The functional is PBE-GGA.

## Properties
Crystal system ... cubic
Distance to the lowest polymorph of the same formula ... 0.00 eV per formula unit

Unit cell a=6.0519 b=6.0519 c=6.0519 alpha=90.00 beta=90.00 gamma=90.00
Space group F-43m (No. 216)
Inequivalent atoms, fractional coordinates:
Li1 0.0000 0.0000 0.0000 x4
Zr1 0.2500 0.2500 0.7500 x4
Co1 0.0000 0.0000 0.5000 x4
Ge1 0.2500 0.2500 0.2500 x4

# 4
This record from OQMD describes a relaxed LiZrCoGe crystal. The functional is PBE-GGA.

## Properties
Crystal system ... cubic
Distance to the lowest polymorph of the same formula ... 1.38 eV per formula unit

Unit cell a=6.1523 b=6.1523 c=6.1523 alpha=90.00 beta=90.00 gamma=90.00
Space group F-43m (No. 216)
Inequivalent atoms, fractional coordinates:
Li1 0.0000 0.0000 0.0000 x4
Zr1 0.2500 0.2500 0.7500 x4
Co1 0.2500 0.2500 0.2500 x4
Ge1 0.0000 0.0000 0.5000 x4

# 5
This record from OQMD describes a relaxed LuCo6Ge6 crystal. The functional is PBE-GGA.

## Properties
Crystal system ... hexagonal
E_tot ... -6.11 eV/atom

Unit cell a=5.0771 b=5.0771 c=7.8315 alpha=90.00 beta=90.00 gamma=120.00
Space group P6/mmm (No. 191)
Inequivalent atoms, fractional coordinates:
Lu1 0.0000 0.0000 0.0000 x1
Co1 0.0000 0.5000 0.2502 x6
Ge1 0.0000 0.0000 0.3433 x2
Ge2 0.3333 0.6667 0.0000 x2
Ge3 0.3333 0.6667 0.5000 x2

# 6
This record from OQMD describes a relaxed LuCoGe crystal. The functional is PBE-GGA.

## Properties
Crystal system ... orthorhombic
E_tot ... -6.11 eV/atom

Unit cell a=6.7272 b=4.1706 c=7.1191 alpha=90.00 beta=90.00 gamma=90.00
Space group Pnma (No. 62)
Inequivalent atoms, fractional coordinates:
Lu1 0.0079 0.2500 0.1982 x4
Co1 0.1556 0.7500 0.4351 x4
Ge1 0.2060 0.2500 0.6037 x4

# 7
This record from OQMD describes a relaxed LuCo2Ge crystal. The functional is PBE-GGA.

## Properties
Crystal system ... cubic
E_tot ... -5.86 eV/atom

Unit cell a=6.2591 b=6.2591 c=6.2591 alpha=90.00 beta=90.00 gamma=90.00
Space group F-43m (No. 216)
Inequivalent atoms, fractional coordinates:
Lu1 0.0000 0.0000 0.0000 x4
Co1 0.0000 0.0000 0.5000 x4
Co2 0.2500 0.2500 0.2500 x4
Ge1 0.2500 0.2500 0.7500 x4

# 8
This record from OQMD describes a relaxed Lu4Co7Ge6 crystal. The functional is PBE-GGA.

## Properties
Crystal system ... cubic
E_tot ... -6.21 eV/atom

Unit cell a=8.0253 b=8.0253 c=8.0253 alpha=90.00 beta=90.00 gamma=90.00
Space group Im-3m (No. 229)
Inequivalent atoms, fractional coordinates:
Lu1 0.2500 0.2500 0.2500 x8
Co1 0.0000 0.0000 0.0000 x2
Co2 0.0000 0.2500 0.5000 x12
Ge1 0.0000 0.0000 0.3233 x12

# 9
This record from OQMD describes a relaxed LuCoGe2 crystal. The functional is PBE-GGA.

## Properties
Crystal system ... orthorhombic
E_tot ... -5.78 eV/atom

Unit cell a=4.0355 b=16.6380 c=4.1219 alpha=90.00 beta=90.00 gamma=90.00
Space group Cmcm (No. 63)
Inequivalent atoms, fractional coordinates:
Lu1 0.0000 0.1100 0.2500 x4
Co1 0.0000 0.3215 0.2500 x4
Ge1 0.0000 0.2513 0.7500 x4
Ge2 0.0000 0.4564 0.2500 x4

# 10
This record from OQMD describes a relaxed LuCoGe2 crystal. The functional is PBE-GGA.

## Properties
Crystal system ... cubic
E_tot ... -5.33 eV/atom

Unit cell a=6.4637 b=6.4637 c=6.4637 alpha=90.00 beta=90.00 gamma=90.00
Space group F-43m (No. 216)
Inequivalent atoms, fractional coordinates:
Lu1 0.0000 0.0000 0.0000 x4
Co1 0.2500 0.2500 0.7500 x4
Ge1 0.0000 0.0000 0.5000 x4
Ge2 0.2500 0.2500 0.2500 x4

# 11
This record from OQMD describes a relaxed LuCo2Ge2 crystal. The functional is PBE-GGA.

## Properties
Crystal system ... tetragonal
E_tot ... -6.18 eV/atom

Unit cell a=3.9297 b=3.9297 c=10.0021 alpha=90.00 beta=90.00 gamma=90.00
Space group I4/mmm (No. 139)
Inequivalent atoms, fractional coordinates:
Lu1 0.0000 0.0000 0.0000 x2
Co1 0.0000 0.5000 0.2500 x4
Ge1 0.0000 0.0000 0.3740 x4

# 12
This record from OQMD describes a relaxed LuCoGe crystal. The functional is PBE-GGA.

## Properties
Crystal system ... cubic
E_tot ... -5.81 eV/atom

Unit cell a=6.0449 b=6.0449 c=6.0449 alpha=90.00 beta=90.00 gamma=90.00
Space group F-43m (No. 216)
Inequivalent atoms, fractional coordinates:
Lu1 0.0000 0.0000 0.0000 x4
Co1 0.2500 0.2500 0.7500 x4
Ge1 0.0000 0.0000 0.5000 x4

What did the ninth record say?
This record from OQMD describes a relaxed LuCoGe2 crystal. The functional is PBE-GGA.

## Properties
Crystal system ... orthorhombic
E_tot ... -5.78 eV/atom

Unit cell a=4.0355 b=16.6380 c=4.1219 alpha=90.00 beta=90.00 gamma=90.00
Space group Cmcm (No. 63)
Inequivalent atoms, fractional coordinates:
Lu1 0.0000 0.1100 0.2500 x4
Co1 0.0000 0.3215 0.2500 x4
Ge1 0.0000 0.2513 0.7500 x4
Ge2 0.0000 0.4564 0.2500 x4